Entry 1:
Entry from Alexandria: a relaxed structure of MgTlSn2Ir (PBE-GGA).

Structure (POSCAR):
```
MgTlSn2Ir
1.0
-4.0637 2.9112 -1.2136
-3.1439 -3.8974 1.1779
-0.2519 1.6660 4.8399
Sn Ir Mg Tl
2 1 1 1
Direct
0.0000 0.5000 0.0000
0.5000 0.0000 0.0000
0.0000 0.0000 0.0000
0.0000 0.0000 0.5000
0.5000 0.5000 0.5000
```

Output
Raw total energy in eV per atom: -4.219
ρ in g cm⁻³: 8.061
Formation enthalpy at 0 K in meV per atom: -54
N(E_F) in states/eV per atom: 0.701

---

Entry 2:
Entry from Alexandria: a relaxed structure of Ga6SnI12 (PBE-GGA).

Structure (POSCAR):
```
Ga6SnI12
1.0
-4.9677 6.5297 -7.0004
-6.2105 -5.4269 5.1300
4.1399 7.1443 6.3065
I Ga Sn
12 6 1
Direct
0.6820 0.5510 0.3151
0.6812 0.1993 0.4455
0.6236 0.3377 0.8435
0.3188 0.8006 0.5544
0.3180 0.4490 0.6849
0.3435 0.0970 0.0465
0.9839 0.3461 0.1423
0.3765 0.6624 0.1566
0.0798 0.0371 0.3217
0.9202 0.9629 0.6784
0.6563 0.9031 0.9535
0.0162 0.6537 0.8575
0.2561 0.5189 0.3035
0.7439 0.4811 0.6965
0.4871 0.2734 0.3279
0.5129 0.7266 0.6721
0.3009 0.3341 0.4077
0.6991 0.6659 0.5924
0.0000 0.9999 0.0000
```

Output
Raw total energy in eV per atom: -2.557
ρ in g cm⁻³: 3.801
Formation energy (no corrections) in eV/atom: -0.4110
N(E_F) in states/eV per atom: 0.000

---

Entry 3:
Entry from Alexandria: a relaxed structure of YEr5Al2 (PBE-GGA).

Structure (POSCAR):
```
YEr5Al2
1.0
-1.9269 2.2011 1.9353
1.9555 -2.2089 7.6378
5.4975 5.6401 2.2375
Al Er Y
2 5 1
Direct
0.2602 0.2398 0.2398
0.7398 0.7602 0.7602
0.6369 0.5885 0.1378
0.6369 0.1378 0.5885
0.0000 0.5000 0.5000
0.3631 0.8622 0.4115
0.3631 0.4115 0.8622
0.0000 0.0000 0.0000
```

Output
Raw total energy in eV per atom: -4.697
ρ in g cm⁻³: 7.385
Formation enthalpy at 0 K in meV per atom: -101
N(E_F) in states/eV per atom: 1.368

---

Entry 4:
Entry from Alexandria: a relaxed structure of HfAuI (PBE-GGA).

Structure (POSCAR):
```
HfAuI
1.0
3.5236 0.0000 0.0000
-1.7618 3.0545 0.0000
0.0000 0.0000 14.6543
I Hf Au
2 2 2
Direct
0.5991 0.1982 0.2793
0.5991 0.1982 0.7207
0.2660 0.5320 0.8632
0.2660 0.5320 0.1368
0.3373 0.6746 0.5000
0.5991 0.1983 0.0000
```

Output
Raw total energy in eV per atom: -5.048
ρ in g cm⁻³: 10.578
Formation energy (no corrections) in eV/atom: -0.1212
N(E_F) in states/eV per atom: 0.786